Entry 1:
First-principles (PBE) data for an optimized crystal structure of Th4SnRh12, as listed in the Alexandria database.

Output
DFT formation energy ... -716 meV/atom
Magnetic moment ... 0.00 μB/f.u.
DFT total energy ... -7.89 eV per atom

a = 8.5383 Å, b = 8.5383 Å, c = 8.5383 Å
α = 90.00°, β = 90.00°, γ = 90.00°
Closest atoms and distances in Å follow each position.
Space group Im-3m (No. 229)
Inequivalent atoms, fractional coordinates:
Th  0.2500  0.2500  0.2500  12 Rh 3.02-3.05
Sn  0.0000  0.0000  0.0000  6 Rh 2.56
Rh  0.0000  0.0000  0.3004  1 Sn 2.56, 4 Rh 2.73
Rh  0.0000  0.2500  0.5000  8 Rh 2.73-3.02, 4 Th 3.02

=====

Entry 2:
First-principles (PBE) data for an optimized crystal structure of Th3SnRh12, as listed in the Alexandria database.

Output
DFT formation energy ... -597 meV/atom
Magnetic moment ... 0.00 μB/f.u.
DFT total energy ... -7.75 eV per atom

a = 4.1082 Å, b = 4.1082 Å, c = 16.2522 Å
α = 90.00°, β = 90.00°, γ = 90.00°
Closest atoms and distances in Å follow each position.
Space group P4/mmm (No. 123)
Inequivalent atoms, fractional coordinates:
Th  0.0000  0.0000  0.0000  12 Rh 2.90-2.92
Th  0.0000  0.0000  0.2554  12 Rh 2.90-2.94
Sn  0.0000  0.0000  0.5000  12 Rh 2.78-2.90
Rh  0.0000  0.5000  0.1279  8 Rh 2.90-2.93, 4 Th 2.92
Rh  0.0000  0.5000  0.3851  2 Sn 2.78, 8 Rh 2.78-2.93, 2 Th 2.94
Rh  0.5000  0.5000  0.0000  4 Th 2.90, 8 Rh 2.92
Rh  0.5000  0.5000  0.2567  4 Th 2.90, 8 Rh 2.93
Rh  0.5000  0.5000  0.5000  8 Rh 2.78, 4 Sn 2.90

=====

Entry 3:
First-principles (PBE) data for an optimized crystal structure of Th3Sn2Rh6, as listed in the Alexandria database.

Output
DFT formation energy ... -813 meV/atom
Magnetic moment ... 0.00 μB/f.u.
DFT total energy ... -7.57 eV per atom

a = 9.6523 Å, b = 9.6523 Å, c = 9.6523 Å
α = 90.00°, β = 90.00°, γ = 90.00°
Closest atoms and distances in Å follow each position.
Space group Im-3m (No. 229)
Inequivalent atoms, fractional coordinates:
Th  0.0000  0.0000  0.2912  4 Rh 2.86
Sn  0.2500  0.2500  0.2500  6 Rh 2.78
Rh  0.0000  0.3510  0.3510  2 Sn 2.78, 6 Rh 2.82-2.88, 2 Th 2.86

=====

Entry 4:
First-principles (PBE) data for an optimized crystal structure of ThSn2Rh5, as listed in the Alexandria database.

Output
DFT formation energy ... -543 meV/atom
Magnetic moment ... 0.00 μB/f.u.
DFT total energy ... -7.07 eV per atom

a = 4.1274 Å, b = 5.8438 Å, c = 12.4978 Å
α = 90.00°, β = 90.00°, γ = 90.00°
Closest atoms and distances in Å follow each position.
Space group Immm (No. 71)
Inequivalent atoms, fractional coordinates:
Th  0.0000  0.0000  0.0000  10 Rh 2.92-2.94
Sn  0.0000  0.5000  0.2123  7 Rh 2.63-2.78
Rh  0.0000  0.2414  0.3844  3 Sn 2.63-2.78, 4 Rh 2.82-2.89, 2 Th 2.94
Rh  0.0000  0.5000  0.0000  2 Sn 2.65, 8 Rh 2.89, 2 Th 2.92